Record 1
4
Lattice="5.061 0.000 0.000 0.000 4.953 0.010 0.000 2.458 6.540" Properties=species:S:1:pos:R:3 comment="Ba2LiCr PBE relaxed" relative_energy_mev_per_atom=0 delta_e_f_ev_per_atom=0.410 pbc="T T T"
Ba 0.000 7.104 6.008
Ba 2.531 2.159 2.245
Cr 0.000 4.635 3.296
Li 2.531 4.630 4.826

Record 2
4
Lattice="4.060 0.000 0.000 0.000 4.060 0.000 0.000 0.000 9.333" Properties=species:S:1:pos:R:3 comment="Ba2LiCr PBE relaxed" relative_energy_mev_per_atom=46 delta_e_f_ev_per_atom=0.456 pbc="T T T"
Ba 0.000 0.000 8.734
Ba 2.030 2.030 2.991
Cr 0.000 0.000 5.262
Li 2.030 2.030 6.345

Record 3
4
Lattice="-2.130 5.243 -1.605 -0.441 0.156 -5.863 -1.991 -3.545 4.251" Properties=species:S:1:pos:R:3 comment="BaLi2Cr PBE relaxed" relative_energy_mev_per_atom=48 delta_e_f_ev_per_atom=0.478 pbc="T T T"
Ba -2.703 2.199 -0.544
Cr -1.859 -0.345 -2.673
Li -0.054 0.113 -0.156
Li -1.232 2.586 -3.578

Record 4
4
Lattice="7.151 -0.108 -0.048 3.526 6.222 0.048 -4.703 -4.167 3.415" Properties=species:S:1:pos:R:3 comment="Ba2LiCr PBE relaxed" relative_energy_mev_per_atom=47 delta_e_f_ev_per_atom=0.457 pbc="T T T"
Ba 0.167 0.096 0.000
Ba 3.569 -0.795 1.684
Cr 4.962 2.841 0.000
Li 2.615 2.862 1.732

Record 5
4
Lattice="6.827 -0.002 0.000 2.975 6.145 0.000 -4.901 -3.071 3.627" Properties=species:S:1:pos:R:3 comment="Ba2LiCr PBE relaxed" relative_energy_mev_per_atom=112 delta_e_f_ev_per_atom=0.522 pbc="T T T"
Ba 0.000 0.000 0.000
Ba 1.487 3.073 1.814
Cr 4.901 3.071 0.000
Li 3.414 -0.001 1.814

Record 6
12
Lattice="-2.342 4.193 -2.403 -2.727 -3.059 -3.944 -5.421 -1.985 1.188" Properties=species:S:1:pos:R:3 comment="BaLiCrN3 PBE relaxed" e_tot_ev_per_atom=-6.9626 pbc="T T T"
Ba -3.808 -0.690 -1.125
Ba -6.683 -0.162 -4.034
Li -6.831 -2.406 -1.805
Li -3.659 1.554 -3.354
Cr -6.764 1.206 -0.937
Cr -3.727 -2.057 -4.222
N -8.513 -2.325 -3.151
N -5.921 -2.574 0.142
N -5.434 1.355 -1.972
N -1.977 1.473 -2.008
N -4.570 1.722 -5.302
N -5.056 -2.207 -3.187

Record 7
8
Lattice="5.507 0.000 0.000 2.754 4.540 -0.944 2.754 -0.436 4.617" Properties=species:S:1:pos:R:3 comment="BaLi2CrN4 PBE relaxed" e_tot_ev_per_atom=-6.3838 pbc="T T T"
Ba 0.000 0.000 0.000
Li 5.507 3.296 0.447
Li 5.507 0.809 3.226
Cr 2.754 2.052 1.836
N 7.285 2.074 3.276
N 3.729 0.620 1.974
N 7.285 2.031 0.397
N 3.729 3.485 1.699

Record 8
16
Lattice="4.685 0.000 0.000 2.342 5.690 0.000 2.342 0.000 9.998" Properties=species:S:1:pos:R:3 comment="Ba2LiCrN4 PBE relaxed" e_tot_ev_per_atom=-6.5961 pbc="T T T"
Ba 2.342 0.000 6.533
Ba 4.685 0.000 3.465
Ba 5.856 2.845 8.465
Ba 5.856 2.845 1.534
Li 5.856 2.845 4.999
Li 0.000 0.000 0.000
Cr 3.514 2.845 4.999
Cr 2.342 0.000 0.000
N 3.657 4.647 0.967
N 3.657 1.043 9.032
N 8.055 4.647 9.032
N 3.370 1.043 0.967
N 4.541 3.889 4.033
N 4.541 1.802 5.966
N 7.171 3.889 5.966
N 2.486 1.802 4.033

| no. | DOS(E_F) (states/eV/atom) |
| --- | --- |
| 1 | 0.780 |
| 2 | 1.004 |
| 3 | 0.588 |
| 4 | 1.049 |
| 5 | 0.997 |
| 6 | 0.157 |
| 7 | 0.288 |
| 8 | 0.486 |